The following is a PBE+U calculation of crystalline NpFeCu2O6 at its relaxed geometry, from Alexandria via LeMat-Bulk. Values from VASP.

Summary:
Raw total energy, eV per atom: -7.051
D(E_F), states/eV per cell: 5.78
Volume, Å³ per atom: 11.24

The structure in Quantum ESPRESSO input format:
```
&SYSTEM
  ibrav = 0, nat = 10, ntyp = 4
/
ATOMIC_SPECIES
Np 237.00 Np.upf
Fe 55.84 Fe.upf
Cu 63.55 Cu.upf
O 16.00 O.upf
ATOMIC_POSITIONS crystal
Np 0.000 0.000 0.000
Fe 0.500 0.500 0.500
Cu 0.248 0.248 0.248
Cu 0.753 0.753 0.753
O 0.128 0.746 0.386
O 0.254 0.614 0.872
O 0.386 0.128 0.746
O 0.614 0.872 0.254
O 0.746 0.386 0.128
O 0.872 0.254 0.614
CELL_PARAMETERS angstrom
2.608 1.506 4.770
-2.608 1.506 4.770
0.000 -3.012 4.770
```